(i)
A relaxed structure of SrAlMo3. Source: Alexandria, functional PBE.

Structure (extended XYZ):
```
5
Lattice="4.7800 0.0000 0.0000 0.0000 4.7800 0.0000 0.0000 0.0000 4.7800" Properties=species:S:1:pos:R:3 pbc="T T T"
Sr 0.0000 0.0000 0.0000
Mo 0.0000 2.3900 0.0000
Al 2.3900 2.3900 2.3900
Mo 2.3900 0.0000 0.0000
Mo 0.0000 0.0000 2.3900
```

Output
**ρ**: 6.12 g cm⁻³
**V**: 109 Å³ per cell

---

(ii)
A relaxed structure of SrAlMo3. Source: Alexandria, functional PBE.

Structure (extended XYZ):
```
5
Lattice="4.7794 0.0000 0.0000 0.0000 4.7794 0.0000 0.0000 0.0000 4.7794" Properties=species:S:1:pos:R:3 pbc="T T T"
Mo 0.0000 2.3897 0.0000
Al 0.0000 0.0000 0.0000
Mo 2.3897 0.0000 0.0000
Mo 0.0000 0.0000 2.3897
Sr 2.3897 2.3897 2.3897
```

Output
**ρ**: 6.12 g cm⁻³
**V**: 109 Å³ per cell

---

We find (ii) to be the most stable, with the next structure 1472 meV per atom higher.

---

(i)
A relaxed structure of TaAlMo. Source: Alexandria, functional PBE.

Structure (extended XYZ):
```
3
Lattice="-4.3363 -0.0463 -0.5240 -1.7529 -1.8743 -3.5348 -2.2064 -3.7503 0.3838" Properties=species:S:1:pos:R:3 pbc="T T T"
Mo -6.2217 -4.2533 -2.7562
Ta 0.0000 0.0000 0.0000
Al -4.1478 -2.8355 -1.8375
```

Output
**ρ**: 8.56 g cm⁻³
**V**: 59 Å³ per cell

---

(ii)
A relaxed structure of TaAlMo. Source: Alexandria, functional PBE.

Structure (extended XYZ):
```
3
Lattice="-2.0919 -1.4730 -4.2778 -4.0277 -2.9313 -0.1747 1.6571 4.1281 2.2490" Properties=species:S:1:pos:R:3 pbc="T T T"
Ta -4.1217 -2.9664 -2.9988
Mo -2.0238 -1.4565 -1.4725
Al -6.0937 -4.3856 -4.4336
```

Output
**ρ**: 10.15 g cm⁻³
**V**: 50 Å³ per cell

---

We find (ii) to be the most stable, with the next structure 786 meV per atom higher.

---

(i)
A relaxed structure of TaAlMo. Source: Alexandria, functional PBE.

Structure (extended XYZ):
```
6
Lattice="5.1944 -0.0450 0.0836 -2.5732 4.5124 -0.0836 2.5789 1.4895 4.2569" Properties=species:S:1:pos:R:3 pbc="T T T"
Ta 2.6154 4.4708 1.5893
Al 2.5972 -0.0225 0.0418
Mo 1.3106 2.2337 0.0000
Al -1.2866 2.2562 -0.0418
Mo 0.0028 3.0010 2.0866
Ta 2.5847 1.4862 2.6675
```

Output
**ρ**: 10.23 g cm⁻³
**V**: 99 Å³ per cell

---

(ii)
A relaxed structure of TaAlMo. Source: Alexandria, functional PBE.

Structure (extended XYZ):
```
3
Lattice="-5.5072 2.7223 -2.9436 -4.6170 -0.4687 -4.9869 3.9166 -2.1893 5.1256" Properties=species:S:1:pos:R:3 pbc="T T T"
Al -10.1053 2.2494 -7.9157
Ta -6.6856 1.4882 -5.2370
Mo -3.4574 0.7696 -2.7083
```

Output
**ρ**: 10.20 g cm⁻³
**V**: 49 Å³ per cell

---

We find (i) to be the most stable, with the next structure 142 meV per atom higher.

---

(i)
A relaxed structure of TaAl3Mo. Source: Alexandria, functional PBE.

Structure (extended XYZ):
```
5
Lattice="4.6343 0.0000 0.0000 0.0000 4.6343 0.0000 0.0000 0.0000 4.6343" Properties=species:S:1:pos:R:3 pbc="T T T"
Al 2.3172 0.0000 0.0000
Al 0.0000 0.0000 2.3172
Al 0.0000 2.3172 0.0000
Ta 2.3172 2.3172 2.3172
Mo 0.0000 0.0000 0.0000
```

Output
**ρ**: 5.97 g cm⁻³
**V**: 100 Å³ per cell

---

(ii)
A relaxed structure of TaAl3Mo. Source: Alexandria, functional PBE.

Structure (extended XYZ):
```
5
Lattice="4.9052 0.0000 0.0000 0.0000 4.9052 0.0000 0.0000 0.0000 4.9052" Properties=species:S:1:pos:R:3 pbc="T T T"
Al 0.0000 2.4526 0.0000
Al 2.4526 0.0000 0.0000
Al 0.0000 0.0000 2.4526
Mo 2.4526 2.4526 2.4526
Ta 0.0000 0.0000 0.0000
```

Output
**ρ**: 5.03 g cm⁻³
**V**: 118 Å³ per cell

---

We find (i) to be the most stable, with the next structure 354 meV per atom higher.

---

(i)
A relaxed structure of Ta4AlMo. Source: Alexandria, functional PBE.

Structure (extended XYZ):
```
6
Lattice="0.0000 3.8082 3.8082 3.8082 0.0000 3.8082 3.8082 3.8082 0.0000" Properties=species:S:1:pos:R:3 pbc="T T T"
Ta 2.8544 2.8544 2.8544
Al 5.7123 5.7123 5.7123
Ta 4.7621 2.8544 4.7621
Ta 2.8544 4.7621 4.7621
Mo 0.0000 0.0000 0.0000
Ta 4.7621 4.7621 2.8544
```

Output
**ρ**: 12.73 g cm⁻³
**V**: 110 Å³ per cell

---

(ii)
A relaxed structure of Ta4AlMo. Source: Alexandria, functional PBE.

Structure (extended XYZ):
```
6
Lattice="-3.9055 -1.5693 -1.2359 -0.4011 -2.1316 -3.8109 0.0161 -7.4690 1.6481" Properties=species:S:1:pos:R:3 pbc="T T T"
Mo 0.0000 0.0000 0.0000
Al -2.1453 -5.5850 -1.6993
Ta -0.5205 -5.1645 0.4175
Ta -2.6880 -3.2529 -2.9455
Ta -1.6025 -7.9171 -0.4531
Ta -3.7700 -6.0055 -3.8162
```

Output
**ρ**: 11.70 g cm⁻³
**V**: 120 Å³ per cell

---

We find (i) to be the most stable, with the next structure 180 meV per atom higher.

---

(i)
A relaxed structure of AlTcMo. Source: Alexandria, functional PBE.

Structure (extended XYZ):
```
3
Lattice="4.3538 0.0000 0.0000 -2.1769 3.7705 0.0000 0.0000 0.0000 2.7362" Properties=species:S:1:pos:R:3 pbc="T T T"
Al 0.0000 0.0000 2.6839
Mo 0.0000 2.5137 1.0358
Tc 2.1769 1.2568 1.7525
```

Output
**ρ**: 8.17 g cm⁻³
**V**: 45 Å³ per cell

---

(ii)
A relaxed structure of AlTcMo. Source: Alexandria, functional PBE.

Structure (extended XYZ):
```
3
Lattice="-1.8340 4.3631 -1.9271 -2.1519 0.8487 -4.5566 0.0150 -3.0623 4.0909" Properties=species:S:1:pos:R:3 pbc="T T T"
Al -0.0125 0.0163 -0.0203
Mo -1.2942 1.6922 -2.1052
Tc -2.6792 3.5033 -4.3582
```

Output
**ρ**: 8.21 g cm⁻³
**V**: 45 Å³ per cell

---

We find (ii) to be the most stable, with the next structure 138 meV per atom higher.

---

(i)
A relaxed structure of AlTc3Mo. Source: Alexandria, functional PBE.

Structure (extended XYZ):
```
5
Lattice="4.3726 0.0000 0.0000 0.0000 4.3726 0.0000 0.0000 0.0000 4.3726" Properties=species:S:1:pos:R:3 pbc="T T T"
Al 0.0000 0.0000 0.0000
Tc 0.0000 2.1863 0.0000
Tc 0.0000 0.0000 2.1863
Mo 2.1863 2.1863 2.1863
Tc 2.1863 0.0000 0.0000
```

Output
**ρ**: 8.28 g cm⁻³
**V**: 84 Å³ per cell

---

(ii)
A relaxed structure of AlTc3Mo. Source: Alexandria, functional PBE.

Structure (extended XYZ):
```
5
Lattice="-0.7513 -4.4399 1.1893 -1.0163 -1.0148 -4.4305 4.4827 -0.9742 -0.8051" Properties=species:S:1:pos:R:3 pbc="T T T"
Tc -0.3756 -2.2200 0.5947
Tc 2.2414 -0.4871 -0.4026
Mo 0.0000 0.0000 0.0000
Tc -0.5081 -0.5074 -2.2152
Al 1.3576 -3.2145 -2.0232
```

Output
**ρ**: 6.85 g cm⁻³
**V**: 101 Å³ per cell

---

We find (i) to be the most stable, with the next structure 296 meV per atom higher.